Entry A
Er2SnPb PBE-GGA optimized geometry; total magnetic moment = 0.0 μB per cell; DOS at the Fermi energy = 2.28 states/eV/f.u.; volume = 222.5 Å³ per cell
1.0
4.359 0.000 0.000
0.000 6.151 -0.063
0.000 -3.151 8.330
Sn Er Pb
2 4 2
Cartesian
3.269 3.319 2.446
1.090 -0.319 5.820
1.090 2.944 4.637
3.269 0.056 3.630
1.090 4.437 0.525
3.269 -1.437 7.742
3.269 1.807 6.624
1.090 1.193 1.643



Entry B
Er2SnPb PBE-GGA optimized geometry; total magnetic moment = 0.0 μB per cell; DOS at the Fermi energy = 3.11 states/eV/f.u.; volume = 107.2 Å³ per cell
1.0
-1.525 -1.130 -2.930
-2.828 -0.921 1.828
-3.441 7.995 -1.293
Sn Pb Er
1 1 2
Cartesian
-2.177 -1.026 -0.551
-3.897 2.972 -1.198
-0.835 1.939 -0.314
-2.606 6.056 -0.979



Of them, the most stable is entry A and the least stable is entry B.



Entry A
ErSn2Pb PBE-GGA optimized geometry; total magnetic moment = 0.0 μB per cell; DOS at the Fermi energy = 1.62 states/eV/f.u.; volume = 114.2 Å³ per cell
1.0
5.450 0.000 0.000
2.725 4.720 0.000
2.725 1.573 4.441
Er Sn Pb
1 2 1
Cartesian
5.450 3.147 2.220
8.175 4.720 3.332
2.725 1.573 1.108
0.000 0.000 0.000



Entry B
ErSn2Pb PBE-GGA optimized geometry; total magnetic moment = 0.0 μB per cell; DOS at the Fermi energy = 1.66 states/eV/f.u.; volume = 110.6 Å³ per cell
1.0
4.142 0.000 0.000
0.000 4.142 0.000
0.000 0.000 6.448
Pb Sn Er
1 2 1
Cartesian
2.071 2.071 0.000
0.000 0.000 1.703
0.000 0.000 4.745
2.071 2.071 3.224



Of them, the most stable is entry B and the least stable is entry A.



Entry A
Tb2ErPb3 PBE-GGA optimized geometry; total magnetic moment = 0.0 μB per cell; DOS at the Fermi energy = 5.46 states/eV/f.u.; volume = 362.5 Å³ per cell
1.0
6.375 0.000 0.000
0.000 7.167 2.490
0.000 -1.341 7.468
Tb Pb Er
4 6 2
Cartesian
0.515 3.687 2.776
3.702 5.213 5.384
3.702 2.140 7.182
0.515 0.614 4.574
3.674 0.667 4.501
3.674 3.597 2.787
0.487 2.230 7.171
2.063 4.952 8.464
0.487 5.159 5.457
5.250 0.874 1.494
5.227 5.051 8.633
2.040 0.775 1.325



Entry B
Tb2ErPb3 PBE-GGA optimized geometry; total magnetic moment = 0.0 μB per cell; DOS at the Fermi energy = 2.68 states/eV/f.u.; volume = 341.0 Å³ per cell
1.0
-3.483 2.114 4.939
2.861 -4.256 3.840
5.342 7.177 -1.370
Tb Pb Er
4 6 2
Cartesian
1.291 1.328 4.511
3.429 3.707 2.898
0.967 5.834 4.402
3.752 -0.799 3.006
2.315 1.315 1.069
2.405 3.720 6.340
-0.142 3.436 2.578
-0.828 -1.069 6.099
4.862 1.599 4.830
0.206 -1.073 2.679
1.636 -3.201 4.599
-2.259 1.059 4.179



Of them, the most stable is entry B and the least stable is entry A.